This record from Alexandria describes a relaxed KPaZnS4 crystal. The functional is PBE-GGA.

Computed properties:
density	3.5	g/cm³
symmetry	Cmcm, No. 63
energy	-71.61	eV per cell
uncorrected formation energy	-1.061	eV per atom
spin magnetization	0.000	μB per cell
crystal system	orthorhombic

a = 7.5937 Å, b = 7.5937 Å, c = 8.1531 Å
α = 90.00°, β = 90.00°, γ = 110.92°
Closest atoms and distances in Å follow each position.
Sites, in units of the cell vectors:
K 0.0000 0.0000 0.0000  6 S 3.22-3.26
K 0.0000 0.0000 0.5000  6 S 3.22-3.26
Pa 0.3684 0.6316 0.7500  4 S 2.52-2.54
Pa 0.6316 0.3684 0.2500  4 S 2.52-2.54
Zn 0.3668 0.6332 0.2500  4 S 2.35-2.39
Zn 0.6332 0.3668 0.7500  4 S 2.35-2.39
S 0.2601 0.7399 0.0132  1 Zn 2.35, 1 Pa 2.54
S 0.2601 0.7399 0.4868  1 Zn 2.35, 1 Pa 2.54
S 0.2806 0.2984 0.2500  1 Zn 2.39, 1 Pa 2.52
S 0.2984 0.2806 0.7500  1 Zn 2.39, 1 Pa 2.52
S 0.7016 0.7194 0.2500  1 Zn 2.39, 1 Pa 2.52
S 0.7194 0.7016 0.7500  1 Zn 2.39, 1 Pa 2.52
S 0.7399 0.2601 0.5132  1 Zn 2.35, 1 Pa 2.54
S 0.7399 0.2601 0.9868  1 Zn 2.35, 1 Pa 2.54



This record from Alexandria describes a relaxed CuSIO crystal. The functional is PBE-GGA.

Computed properties:
offset from the most stable computed form	0.038	eV/atom
density	4.3	g/cm³
symmetry	P1, No. 1
energy	-32.76	eV per cell
uncorrected formation energy	-0.412	eV per atom
spin magnetization	0.000	μB per cell
crystal system	triclinic

a = 4.0633 Å, b = 5.9622 Å, c = 8.0714 Å
α = 103.62°, β = 103.20°, γ = 91.76°
Closest atoms and distances in Å follow each position.
Sites, in units of the cell vectors:
Cu 0.0000 0.0000 0.0000  1 O 2.10, 1 S 2.19
Cu 0.4145 0.3462 0.8112  2 S 2.23, 1 O 2.25
S 0.0138 0.3619 0.3899  2 O 1.48-1.49
S 0.8987 0.1876 0.7928  3 Cu 2.19-2.23
I 0.5116 0.7403 0.0461  3 Cu 2.60-2.64
I 0.7386 0.9333 0.4821  1 S 2.53
O 0.1526 0.2561 0.2368  1 S 1.49
O 0.2798 0.4479 0.5543  1 S 1.48



This record from Alexandria describes a relaxed PmNd4Ho8 crystal. The functional is PBE-GGA.

Computed properties:
density	7.1	g/cm³
symmetry	Pm-3m, No. 221
energy	-53.69	eV per cell
energy of formation	519	meV per atom
spin magnetization	1.769	μB per cell
crystal system	cubic

a = 7.8153 Å, b = 7.8153 Å, c = 7.8153 Å
α = 90.00°, β = 90.00°, γ = 90.00°
Closest atoms and distances in Å follow each position.
Sites, in units of the cell vectors:
Pm 0.0000 0.0000 0.0000  8 Ho 3.53, 6 Nd 3.91
Nd 0.0000 0.0000 0.5000  8 Ho 3.44
Nd 0.0000 0.5000 0.0000  8 Ho 3.44
Nd 0.5000 0.0000 0.0000  8 Ho 3.44
Nd 0.5000 0.5000 0.5000  8 Ho 3.24
Ho 0.2607 0.2607 0.2607  4 Nd 3.24-3.44, 1 Pm 3.53
Ho 0.2607 0.2607 0.7393  4 Nd 3.24-3.44, 1 Pm 3.53
Ho 0.2607 0.7393 0.2607  4 Nd 3.24-3.44, 1 Pm 3.53
Ho 0.2607 0.7393 0.7393  4 Nd 3.24-3.44, 1 Pm 3.53
Ho 0.7393 0.2607 0.2607  4 Nd 3.24-3.44, 1 Pm 3.53
Ho 0.7393 0.2607 0.7393  4 Nd 3.24-3.44, 1 Pm 3.53
Ho 0.7393 0.7393 0.2607  4 Nd 3.24-3.44, 1 Pm 3.53
Ho 0.7393 0.7393 0.7393  4 Nd 3.24-3.44, 1 Pm 3.53



This record from Alexandria describes a relaxed Nd8YHo3 crystal. The functional is PBE-GGA.

Computed properties:
density	7.1	g/cm³
symmetry	P1, No. 1
energy	-58.15	eV per cell
energy of formation	15	meV per atom
spin magnetization	0.000	μB per cell
crystal system	triclinic

a = 6.2940 Å, b = 7.2728 Å, c = 9.6120 Å
α = 79.00°, β = 71.04°, γ = 89.96°
Closest atoms and distances in Å follow each position.
Sites, in units of the cell vectors:
Nd 0.0000 0.0000 0.0000  1 Y 3.61, 7 Nd 3.62-3.64, 4 Ho 3.63-3.66
Nd 0.9997 0.1660 0.3343  7 Nd 3.62-3.65, 4 Ho 3.62-3.64, 1 Y 3.64
Nd 0.0013 0.6668 0.3339  3 Ho 3.63-3.65, 8 Nd 3.63-3.65, 1 Y 3.65
Nd 0.0008 0.8333 0.6685  6 Nd 3.62-3.65, 4 Ho 3.62-3.64, 2 Y 3.62-3.65
Nd 0.4993 0.2495 0.0007  4 Ho 3.62-3.64, 1 Y 3.63, 7 Nd 3.63-3.65
Nd 0.4990 0.5836 0.6666  4 Ho 3.61-3.64, 6 Nd 3.62-3.65, 2 Y 3.64
Nd 0.4998 0.7500 0.0002  8 Nd 3.63-3.65, 4 Ho 3.63-3.66
Nd 0.5013 0.4155 0.3351  4 Ho 3.61-3.65, 7 Nd 3.62-3.65, 1 Y 3.65
Y 0.9986 0.3315 0.6691  9 Nd 3.61-3.65, 3 Ho 3.62-3.63
Ho 0.0009 0.4990 0.9998  1 Y 3.62, 11 Nd 3.62-3.65
Ho 0.4989 0.9172 0.3359  1 Ho 3.61, 11 Nd 3.61-3.66
Ho 0.5016 0.0840 0.6658  9 Nd 3.61-3.65, 1 Ho 3.61, 2 Y 3.62-3.63



Copy entry 1 word for word.
This record from Alexandria describes a relaxed KPaZnS4 crystal. The functional is PBE-GGA.

Computed properties:
density	3.5	g/cm³
symmetry	Cmcm, No. 63
energy	-71.61	eV per cell
uncorrected formation energy	-1.061	eV per atom
spin magnetization	0.000	μB per cell
crystal system	orthorhombic

a = 7.5937 Å, b = 7.5937 Å, c = 8.1531 Å
α = 90.00°, β = 90.00°, γ = 110.92°
Closest atoms and distances in Å follow each position.
Sites, in units of the cell vectors:
K 0.0000 0.0000 0.0000  6 S 3.22-3.26
K 0.0000 0.0000 0.5000  6 S 3.22-3.26
Pa 0.3684 0.6316 0.7500  4 S 2.52-2.54
Pa 0.6316 0.3684 0.2500  4 S 2.52-2.54
Zn 0.3668 0.6332 0.2500  4 S 2.35-2.39
Zn 0.6332 0.3668 0.7500  4 S 2.35-2.39
S 0.2601 0.7399 0.0132  1 Zn 2.35, 1 Pa 2.54
S 0.2601 0.7399 0.4868  1 Zn 2.35, 1 Pa 2.54
S 0.2806 0.2984 0.2500  1 Zn 2.39, 1 Pa 2.52
S 0.2984 0.2806 0.7500  1 Zn 2.39, 1 Pa 2.52
S 0.7016 0.7194 0.2500  1 Zn 2.39, 1 Pa 2.52
S 0.7194 0.7016 0.7500  1 Zn 2.39, 1 Pa 2.52
S 0.7399 0.2601 0.5132  1 Zn 2.35, 1 Pa 2.54
S 0.7399 0.2601 0.9868  1 Zn 2.35, 1 Pa 2.54



Q: density of number 2 (CuSIO)?
A: 4.3 g/cm³



Copy entry 1 word for word.
This record from Alexandria describes a relaxed KPaZnS4 crystal. The functional is PBE-GGA.

Computed properties:
density	3.5	g/cm³
symmetry	Cmcm, No. 63
energy	-71.61	eV per cell
uncorrected formation energy	-1.061	eV per atom
spin magnetization	0.000	μB per cell
crystal system	orthorhombic

a = 7.5937 Å, b = 7.5937 Å, c = 8.1531 Å
α = 90.00°, β = 90.00°, γ = 110.92°
Closest atoms and distances in Å follow each position.
Sites, in units of the cell vectors:
K 0.0000 0.0000 0.0000  6 S 3.22-3.26
K 0.0000 0.0000 0.5000  6 S 3.22-3.26
Pa 0.3684 0.6316 0.7500  4 S 2.52-2.54
Pa 0.6316 0.3684 0.2500  4 S 2.52-2.54
Zn 0.3668 0.6332 0.2500  4 S 2.35-2.39
Zn 0.6332 0.3668 0.7500  4 S 2.35-2.39
S 0.2601 0.7399 0.0132  1 Zn 2.35, 1 Pa 2.54
S 0.2601 0.7399 0.4868  1 Zn 2.35, 1 Pa 2.54
S 0.2806 0.2984 0.2500  1 Zn 2.39, 1 Pa 2.52
S 0.2984 0.2806 0.7500  1 Zn 2.39, 1 Pa 2.52
S 0.7016 0.7194 0.2500  1 Zn 2.39, 1 Pa 2.52
S 0.7194 0.7016 0.7500  1 Zn 2.39, 1 Pa 2.52
S 0.7399 0.2601 0.5132  1 Zn 2.35, 1 Pa 2.54
S 0.7399 0.2601 0.9868  1 Zn 2.35, 1 Pa 2.54



Q: The highest spin magnetization belongs to which entry?
A: PmNd4Ho8